The following is a PBE with a Hubbard U calculation of a relaxed FeBi2O5 crystal, from Alexandria via LeMat-Bulk.

a = 5.7053 Å, b = 5.7055 Å, c = 6.6516 Å
α = 122.35°, β = 122.34°, γ = 86.25°
With the nearest neighbours (Å) after each atom.
Atoms (fractional coordinates):
Fe 0.9716 0.9716 0.9777  5 O 1.84-1.95
Bi 0.2265 0.6848 0.3321  5 O 2.19-2.45
Bi 0.6848 0.2265 0.3322  5 O 2.19-2.45
O 0.8280 0.2900 0.1131  1 Fe 1.90
O 0.2428 0.2428 0.0455  1 Fe 1.95
O 0.8181 0.8181 0.0805  1 Fe 1.84
O 0.2899 0.8280 0.1130  1 Fe 1.90
O 0.7153 0.7154 0.5600  1 Fe 1.89

Results
- Uncorrected energy: -46.83 eV for the cell shown
- Spin magnetization: 3.97 Bohr magnetons per cell